(1)
A geometry-optimized ReAs2Ru structure. Source: Alexandria, functional PBE.

## Properties
* space group: F-43m (216)
* uncorrected energy: -7.116 eV per atom
* DOS(E_F): 5.84 states/eV/f.u.
* ΔH_f (0 K): 640 meV/atom

Cell: 4.461 4.461 4.461 Å, 60.00 60.00 60.00°
Positions (direct):
As1 0.000 0.000 0.000
As2 0.250 0.250 0.250
Ru1 0.750 0.750 0.750
Re1 0.500 0.500 0.500


(2)
A geometry-optimized YFeRh2 structure. Source: Alexandria, functional PBE.

## Properties
* space group: P4/mmm (123)
* uncorrected energy: -7.736 eV per atom
* DOS(E_F): 3.87 states/eV/f.u.
* ΔH_f (0 K): -328 meV/atom

Cell: 4.383 4.383 3.492 Å, 90.00 90.00 89.97°
Site moments in Bohr magnetons follow the coordinates.
Positions (direct):
Fe1 0.000 0.500 0.500  3.24
Y1 0.500 0.000 0.500  -0.06
Rh1 0.500 0.500 0.000  0.53
Rh2 0.000 0.000 0.000  0.53


(3)
A geometry-optimized KAgMo2Os structure. Source: Alexandria, functional PBE.

## Properties
* space group: P4/mmm (123)
* uncorrected energy: -6.035 eV per atom
* DOS(E_F): 4.15 states/eV/f.u.
* ΔH_f (0 K): 1333 meV/atom

Cell: 4.835 5.434 4.835 Å, 90.00 90.00 90.00°
Site moments in Bohr magnetons follow the coordinates.
Positions (direct):
K1 0.500 0.500 0.500  0.02
Mo1 0.000 0.000 0.500  1.66
Mo2 0.500 0.000 0.000  1.78
Ag1 0.000 0.500 0.000  0.03
Os1 0.000 0.000 0.000  -0.16


(4)
A geometry-optimized ScCdAgIr structure. Source: Alexandria, functional PBE.

## Properties
* space group: F-43m (216)
* uncorrected energy: -5.069 eV per atom
* DOS(E_F): 1.60 states/eV/f.u.
* ΔH_f (0 K): -329 meV/atom

Cell: 4.675 4.675 4.675 Å, 60.00 60.00 60.00°
Positions (direct):
Cd1 0.500 0.500 0.500
Ir1 0.250 0.250 0.250
Sc1 0.000 0.000 0.000
Ag1 0.750 0.750 0.750


(5)
A geometry-optimized In2GaFePd structure. Source: Alexandria, functional PBE.

## Properties
* space group: P4/mmm (123)
* uncorrected energy: -3.693 eV per atom
* DOS(E_F): 3.92 states/eV/f.u.
* ΔH_f (0 K): 739 meV/atom

Cell: 5.074 5.074 4.542 Å, 90.00 90.00 90.00°
Site moments in Bohr magnetons follow the coordinates.
Positions (direct):
In1 0.500 0.000 0.000  0.00
Fe1 0.000 0.000 0.500  2.84
In2 0.000 0.500 0.000  0.00
Ga1 0.000 0.000 0.000  -0.06
Pd1 0.500 0.500 0.500  0.11


(6)
A geometry-optimized Zr2NiRh structure. Source: Alexandria, functional PBE.

## Properties
* space group: I-4m2 (119)
* uncorrected energy: -7.883 eV per atom
* DOS(E_F): 4.07 states/eV/f.u.
* ΔH_f (0 K): -326 meV/atom

Cell: 4.546 4.542 4.541 Å, 60.05 59.97 59.97°
Positions (direct):
Ni1 0.428 0.190 0.954
Zr1 0.678 0.440 0.204
Zr2 0.928 0.690 0.454
Rh1 0.178 0.941 0.704


(7)
A geometry-optimized CuCl3 structure. Source: Alexandria, functional PBE.

## Properties
* space group: R-3m (166)
* uncorrected energy: -2.277 eV per atom
* E_form (uncorrected): 0.530 eV/f.u.
* DOS(E_F): 4.50 states/eV/f.u.

Cell: 11.851 11.851 11.851 Å, 16.06 16.06 16.06°
Site moments in Bohr magnetons follow the coordinates.
Positions (direct):
Cl1 0.059 0.059 0.059  0.03
Cl2 0.500 0.500 0.500  0.74
Cu1 0.000 0.000 0.000  0.03
Cl3 0.941 0.941 0.941  0.03


(8)
A geometry-optimized RbBaCu2P2 structure. Source: Alexandria, functional PBE.

## Properties
* space group: P-3m1 (164)
* uncorrected energy: -4.121 eV per atom
* DOS(E_F): 3.38 states/eV/f.u.
* ΔH_f (0 K): -470 meV/atom

Cell: 4.071 4.071 10.236 Å, 90.00 90.00 120.00°
Positions (direct):
P1 0.333 0.667 0.268
Cu1 0.667 0.333 0.261
Rb1 0.000 0.000 0.000
Ba1 0.000 0.000 0.500
Cu2 0.333 0.667 0.739
P2 0.667 0.333 0.732


(9)
A geometry-optimized PaTiTl2O8 structure. Source: Alexandria, functional PBE.

## Properties
* space group: Cmmm (65)
* uncorrected energy: -7.093 eV per atom
* E_form (uncorrected): -23.327 eV/f.u.
* DOS(E_F): 8.66 states/eV/f.u.

Cell: 5.089 5.087 6.643 Å, 90.00 90.00 91.36°
Site moments in Bohr magnetons follow the coordinates.
Positions (direct):
O1 0.719 0.720 0.000  -0.12
O2 0.175 0.824 0.769  -0.06
O3 0.175 0.824 0.231  -0.06
Tl1 0.500 0.500 0.239  0.00
Tl2 0.500 0.500 0.761  0.00
O4 0.699 0.700 0.500  -0.04
Pa1 0.000 0.000 0.500  0.01
O5 0.301 0.300 0.500  -0.04
O6 0.825 0.176 0.231  -0.06
O7 0.281 0.280 0.000  -0.12
O8 0.825 0.176 0.769  -0.06
Ti1 0.000 0.000 0.000  0.03


(10)
A geometry-optimized KNbSi2 structure. Source: Alexandria, functional PBE.

## Properties
* space group: Fm-3m (225)
* uncorrected energy: -4.740 eV per atom
* E_form (uncorrected): 3.053 eV/f.u.
* DOS(E_F): 2.79 states/eV/f.u.

Cell: 4.791 4.791 4.791 Å, 60.00 60.00 60.00°
Site moments in Bohr magnetons follow the coordinates.
Positions (direct):
Si1 0.250 0.250 0.250  -0.01
Nb1 0.500 0.500 0.500  0.10
Si2 0.750 0.750 0.750  -0.01
K1 0.000 0.000 0.000  0.00


(11)
A geometry-optimized PHPt6Pb2 structure. Source: Alexandria, functional PBE.

## Properties
* space group: P1 (1)
* uncorrected energy: -5.414 eV per atom
* DOS(E_F): 4.11 states/eV/f.u.

Cell: 5.650 5.627 6.897 Å, 115.83 114.47 90.43°
Positions (direct):
Pt1 0.190 0.190 0.896
Pb1 0.280 0.765 0.490
P1 0.068 0.085 0.138
H1 0.537 0.397 0.126
Pt2 0.240 0.722 0.975
Pt3 0.277 0.306 0.558
Pb2 0.767 0.334 0.536
Pt4 0.717 0.733 0.968
Pt5 0.719 0.744 0.377
Pt6 0.704 0.226 0.935


(12)
A geometry-optimized Li3Ag2F6 structure. Source: Alexandria, functional PBE.

## Properties
* space group: C2/m (12)
* uncorrected energy: -4.108 eV per atom
* E_form (uncorrected): -22.513 eV/f.u.
* DOS(E_F): 4.99 states/eV/f.u.

Cell: 5.265 5.281 5.649 Å, 83.43 76.73 60.10°
Site moments in Bohr magnetons follow the coordinates.
Positions (direct):
F1 0.380 0.654 0.795  0.08
Li1 0.344 0.313 0.000  0.00
Li2 0.000 0.000 0.000  0.00
Li3 0.656 0.687 0.000  0.00
F2 0.034 0.346 0.795  0.08
F3 0.966 0.654 0.205  0.08
Ag1 0.839 0.321 0.500  0.31
Ag2 0.161 0.679 0.500  0.31
F4 0.272 0.000 0.191  0.04
F5 0.620 0.346 0.205  0.08
F6 0.728 0.000 0.809  0.04


(13)
A geometry-optimized DySc5Ga6 structure. Source: Alexandria, functional PBE.

## Properties
* space group: Immm (71)
* uncorrected energy: -5.119 eV per atom
* DOS(E_F): 5.23 states/eV/f.u.
* ΔH_f (0 K): -584 meV/atom

Cell: 4.815 6.743 8.329 Å, 113.88 106.80 90.00°
Positions (direct):
Ga1 0.171 0.429 0.341
Ga2 0.500 0.266 0.000
Sc1 0.669 0.669 0.338
Sc2 0.337 0.837 0.674
Ga3 0.829 0.087 0.659
Sc3 0.331 0.331 0.662
Ga4 0.500 0.734 0.000
Sc4 0.663 0.163 0.326
Dy1 0.000 0.000 0.000
Sc5 0.000 0.500 0.000
Ga5 0.171 0.913 0.341
Ga6 0.829 0.571 0.659


(14)
A geometry-optimized Ba2PbI6 structure. Source: Alexandria, functional PBE.

## Properties
* space group: P4_2/mnm (136)
* uncorrected energy: -3.238 eV per atom
* E_form (uncorrected): -12.290 eV/f.u.
* DOS(E_F): 0.00 states/eV/f.u.

Cell: 7.961 7.961 15.491 Å, 90.00 90.00 90.00°
Positions (direct):
I1 0.793 0.207 0.500
Ba1 0.500 0.500 0.167
I2 0.207 0.793 0.500
I3 0.308 0.308 0.342
Ba2 0.000 0.000 0.333
Ba3 0.500 0.500 0.833
I4 0.692 0.692 0.658
I5 0.808 0.192 0.158
I6 0.707 0.707 0.000
Pb1 0.500 0.500 0.500
I7 0.192 0.808 0.842
Ba4 0.000 0.000 0.667
I8 0.308 0.308 0.658
Pb2 0.000 0.000 0.000
I9 0.808 0.192 0.842
I10 0.192 0.808 0.158
I11 0.692 0.692 0.342
I12 0.293 0.293 0.000


(15)
A geometry-optimized Tb6Dy2Y3Sc structure. Source: Alexandria, functional PBE.

## Properties
* space group: C2/m (12)
* uncorrected energy: -5.198 eV per atom
* DOS(E_F): 16.73 states/eV/f.u.
* ΔH_f (0 K): 27 meV/atom

Cell: 6.125 6.125 11.706 Å, 94.98 94.98 119.95°
Positions (direct):
Dy1 0.333 0.667 0.000
Tb1 0.249 0.249 0.753
Tb2 0.587 0.918 0.754
Sc1 0.000 0.000 0.000
Tb3 0.918 0.587 0.754
Tb4 0.751 0.751 0.247
Y1 0.500 0.500 0.500
Y2 0.166 0.834 0.500
Dy2 0.667 0.333 0.000
Y3 0.834 0.166 0.500
Tb5 0.413 0.082 0.246
Tb6 0.082 0.413 0.246


(16)
A geometry-optimized Be3Fe4 structure. Source: Alexandria, functional PBE.

## Properties
* space group: P6/mmm (191)
* uncorrected energy: -6.522 eV per atom
* DOS(E_F): 7.50 states/eV/f.u.
* ΔH_f (0 K): -90 meV/atom

Cell: 4.213 4.213 4.358 Å, 90.00 90.00 120.00°
Site moments in Bohr magnetons follow the coordinates.
Positions (direct):
Fe1 0.333 0.667 0.500  1.98
Be1 0.500 0.500 0.000  -0.07
Fe2 0.000 0.000 0.253  1.69
Be2 0.500 0.000 0.000  -0.07
Be3 0.000 0.500 0.000  -0.07
Fe3 0.667 0.333 0.500  1.98
Fe4 0.000 0.000 0.747  1.69


(17)
A geometry-optimized La4Pm structure. Source: Alexandria, functional PBE.

## Properties
* space group: I4/m (87)
* uncorrected energy: -4.878 eV per atom
* DOS(E_F): 10.25 states/eV/f.u.
* ΔH_f (0 K): 14 meV/atom

Cell: 5.235 6.426 6.426 Å, 80.45 65.97 65.97°
Positions (direct):
La1 0.799 0.800 0.601
La2 0.201 0.200 0.399
La3 0.600 0.601 0.200
Pm1 0.000 0.000 0.000
La4 0.400 0.399 0.800


(18)
A geometry-optimized Ce2Co2Si3 structure. Source: Alexandria, functional PBE.

## Properties
* space group: Cmcm (63)
* uncorrected energy: -6.711 eV per atom
* E_form (uncorrected): -4.627 eV/f.u.
* DOS(E_F): 7.34 states/eV/f.u.

Cell: 4.139 6.579 8.974 Å, 90.00 103.33 90.00°
Positions (direct):
Si1 0.220 0.750 0.439
Co1 0.305 0.050 0.611
Si2 0.564 0.066 0.128
Ce1 0.052 0.750 0.105
Ce2 0.837 0.750 0.675
Si3 0.436 0.566 0.872
Si4 0.564 0.434 0.128
Ce3 0.948 0.250 0.895
Co2 0.695 0.950 0.389
Si5 0.436 0.934 0.872
Co3 0.305 0.450 0.611
Co4 0.695 0.550 0.389
Ce4 0.163 0.250 0.325
Si6 0.780 0.250 0.561


(19)
A geometry-optimized Li2TaCl structure. Source: Alexandria, functional PBE.

## Properties
* space group: R-3m (166)
* uncorrected energy: -4.760 eV per atom
* E_form (uncorrected): -1.515 eV/f.u.
* DOS(E_F): 3.30 states/eV/f.u.

Cell: 8.728 8.728 8.728 Å, 19.97 19.97 19.97°
Site moments in Bohr magnetons follow the coordinates.
Positions (direct):
Li1 0.480 0.480 0.480  0.00
Cl1 0.750 0.750 0.750  0.00
Li2 0.020 0.020 0.020  0.00
Ta1 0.250 0.250 0.250  0.09


(20)
A geometry-optimized KLi2Rh structure. Source: Alexandria, functional PBE.

## Properties
* space group: C2/m (12)
* uncorrected energy: -2.848 eV per atom
* DOS(E_F): 2.73 states/eV/f.u.
* ΔH_f (0 K): 221 meV/atom

Cell: 4.642 4.642 6.639 Å, 84.88 84.88 36.87°
Site moments in Bohr magnetons follow the coordinates.
Positions (direct):
K1 0.750 0.750 0.750  0.01
Li1 0.519 0.519 0.402  0.00
Li2 0.981 0.981 0.098  0.00
Rh1 0.250 0.250 0.250  0.43